# PBE-GGA CsKLi3, relaxed
# E_form	0.6106	eV per atom
# energy above the lowest structure with this stoichiometry	0.903	eV per formula unit
# energy	-0.0682	Ry/atom
# total magnetic moment	0.00	μB per formula unit
# space-group type	Pm-3m
# N(E_F)	6.95	states/eV/f.u.
data_CsKLi3
_cell_length_a 6.607
_cell_length_b 6.607
_cell_length_c 6.607
_cell_angle_alpha 90.00
_cell_angle_beta 90.00
_cell_angle_gamma 90.00
_space_group_name_H-M_alt 'P 1'
_space_group_IT_number 1
_space_group_name_Hall 'P 1'
loop_
_atom_site_label
_atom_site_fract_x
_atom_site_fract_y
_atom_site_fract_z
Cs1 0.000 0.000 0.000
K1 0.500 0.500 0.500
Li1 0.000 0.000 0.500
Li2 0.000 0.500 0.000
Li3 0.500 0.000 0.000